Cs2NbVF6 | GGA+U | relaxed

The structure in extended XYZ format:
```
10
Lattice="-4.7232 2.4072 -3.3268 -0.5079 -5.3740 -3.1674 -5.4986 -2.9836 -0.2395" Properties=species:S:1:pos:R:3 pbc="T T T"
F -6.7137 -3.7383 -4.9476
F -1.3425 -0.7614 -1.6667
Cs -6.4187 -1.0299 -3.4067
F -3.6414 0.4102 -3.2859
V -2.6156 -1.4834 -3.2471
F -4.0160 -2.2122 -1.7861
Cs -4.3110 -4.9205 -3.3270
F -1.5897 -3.3771 -3.2083
F -3.8886 -2.2054 -4.8276
Nb 0.0000 0.0000 0.0000
```

As for the total DFT energy (no corrections): -54.5 eV for the cell shown. The value obtained for the total magnetization is 0.200 μB/atom.